# CrCd2Se (GGA-PBE, optimized geometry)
# Calculated density (Mg/m³): 7.07
# Calculated volume (Å³ per cell): 83.5
# Electronic total energy (eV/cell): -14.1
# DOS(E_F) (states/eV per atom): 0.67
# Formation energy (no corrections) (eV/atom): 0.200
data_CrCd2Se
_symmetry_space_group_name_H-M 'P 4/m m m'
_symmetry_Int_Tables_number 123
_symmetry_space_group_name_Hall '-P 4 2'
_cell_length_a 3.8348
_cell_length_b 3.8348
_cell_length_c 5.6792
_cell_angle_alpha 90.00
_cell_angle_beta 90.00
_cell_angle_gamma 90.00
loop_
_atom_site_label
_atom_site_fract_x
_atom_site_fract_y
_atom_site_fract_z
_atom_site_occupancy
Cr1 0.0000 0.0000 0.0000 1
Cd1 0.5000 0.5000 0.2457 1
Se1 0.0000 0.0000 0.5000 1



# Tm2Th3Sc (GGA-PBE, optimized geometry)
# Calculated density (Mg/m³): 9.87
# Calculated volume (Å³ per cell): 363.2
# Electronic total energy (eV/cell): -74.6
# DOS(E_F) (states/eV per atom): 1.42
# E_form (eV per atom): 0.04
data_Tm2Th3Sc
_symmetry_space_group_name_H-M 'P 1 21/m 1'
_symmetry_Int_Tables_number 11
_cell_length_a 9.7681
_cell_length_b 3.5337
_cell_length_c 10.5233
_cell_angle_alpha 90.00
_cell_angle_beta 91.17
_cell_angle_gamma 90.00
loop_
_symmetry_equiv_pos_as_xyz
'x,y,z'
'-x,-y,-z'
'-x,y+1/2,-z'
'x,-y+1/2,z'
loop_
_atom_site_label
_atom_site_fract_x
_atom_site_fract_y
_atom_site_fract_z
_atom_site_occupancy
Tm1 0.1235 0.2500 0.0886 1
Tm2 0.3678 0.7500 0.5835 1
Th1 0.1191 0.2500 0.4134 1
Th2 0.3707 0.7500 0.9169 1
Th3 0.3762 0.7500 0.2482 1
Sc1 0.1245 0.2500 0.7467 1



# LaSm2Ni6 (GGA-PBE, optimized geometry)
# Calculated density (Mg/m³): 7.88
# Calculated volume (Å³ per cell): 166.8
# Electronic total energy (eV/cell): -52.1
# DOS(E_F) (states/eV per atom): 1.16
# E_form (eV per atom): -0.34
data_LaSm2Ni6
_symmetry_space_group_name_H-M 'P 6/m m m'
_symmetry_Int_Tables_number 191
_symmetry_space_group_name_Hall '-P 6 2'
_cell_length_a 6.9786
_cell_length_b 6.9786
_cell_length_c 3.9559
_cell_angle_alpha 90.00
_cell_angle_beta 90.00
_cell_angle_gamma 120.00
loop_
_atom_site_label
_atom_site_fract_x
_atom_site_fract_y
_atom_site_fract_z
_atom_site_occupancy
La1 0.0000 0.0000 0.0000 1
Sm1 0.3333 0.6667 0.0000 1
Ni1 0.0000 0.3349 0.5000 1



# TeRuSeI2 (GGA-PBE, optimized geometry)
# Calculated density (Mg/m³): 5.26
# Energy above the lowest structure with this stoichiometry (eV per atom): 0.630
# Calculated volume (Å³ per cell): 177.1
# Electronic total energy (eV/cell): -13.0
# DOS(E_F) (states/eV per atom): 1.66
# Formation energy (no corrections) (eV/atom): 1.206
data_TeRuSeI2
_symmetry_space_group_name_H-M 'P 4/m m m'
_symmetry_Int_Tables_number 123
_symmetry_space_group_name_Hall '-P 4 2'
_cell_length_a 5.6163
_cell_length_b 5.6163
_cell_length_c 5.6157
_cell_angle_alpha 90.00
_cell_angle_beta 90.00
_cell_angle_gamma 90.00
loop_
_atom_site_label
_atom_site_fract_x
_atom_site_fract_y
_atom_site_fract_z
_atom_site_occupancy
Te1 0.0000 0.0000 0.0000 1
Ru1 0.5000 0.5000 0.0000 1
Se1 0.0000 0.0000 0.5000 1
I1 0.0000 0.5000 0.5000 1



- Look up the calculated density of the fourth one.
  5.26 Mg/m³